Entry 1:
Entry from the Alexandria database: a geometry-optimized Mg2SiPt structure (GGA-PBE).

Structure (POSCAR):
```
Mg2SiPt
1.0
-0.8108 2.1795 -3.6244
2.8957 -3.1873 -0.0063
-6.1567 -5.5895 -1.9838
Mg Si Pt
4 2 2
Cartesian
-2.1378 -1.9358 -3.2440 Mg
-3.9806 -6.5195 -3.0299 Mg
-1.9341 -4.6615 -2.3704 Mg
-0.0912 -0.0778 -2.5846 Mg
-4.6175 -4.1921 -1.4879 Si
-1.5392 -1.3974 -0.4960 Si
0.1210 -2.7958 -1.7083 Pt
-4.1929 -3.8016 -3.9062 Pt
```

Output
magnetization	0.00	μB/cell
theoretical density	6.6	Mg/m³
energy relative to the elements, uncorrected	-2.50	eV/f.u.
density of states at the Fermi level	2.43	states/eV/cell
crystal system	hexagonal

=====

Entry 2:
Entry from the Alexandria database: a geometry-optimized WSCl3 structure (GGA-PBE).

Structure (POSCAR):
```
WSCl3
1.0
-1.0709 0.6860 4.5631
0.7817 -4.5897 0.8735
4.5477 0.9505 0.9244
Cl W S
3 1 1
Cartesian
-0.5355 0.3430 2.2816 Cl
0.3909 -2.2949 0.4367 Cl
2.2739 0.4752 0.4622 Cl
0.0000 0.0000 0.0000 W
2.1292 -1.4766 3.1805 S
```

Output
energy above the lowest structure with this stoichiometry	1095	meV/atom
magnetization	0.00	μB/cell
theoretical density	5.0	Mg/m³
energy relative to the elements, uncorrected	2.03	eV/f.u.
density of states at the Fermi level	4.08	states/eV/cell
crystal system	cubic

=====

Entry 3:
Entry from the Alexandria database: a geometry-optimized BaCaLa2Ru structure (GGA-PBE).

Structure (POSCAR):
```
BaCaLa2Ru
1.0
5.5405 0.0000 0.0000
0.0000 5.5405 0.0000
0.0000 0.0000 6.1043
Ba La Ca Ru
1 2 1 1
Cartesian
2.7703 2.7703 3.0521 Ba
0.0000 2.7703 0.0000 La
2.7703 0.0000 0.0000 La
0.0000 0.0000 3.0521 Ca
0.0000 0.0000 0.0000 Ru
```

Output
energy above the lowest structure with this stoichiometry	0	meV/atom
magnetization	0.00	μB/cell
theoretical density	4.9	Mg/m³
density of states at the Fermi level	4.77	states/eV/cell
ΔH_f (0 K)	-118	meV per atom
crystal system	tetragonal

=====

What did the first record say?
Entry from the Alexandria database: a geometry-optimized Mg2SiPt structure (GGA-PBE).

Structure (POSCAR):
```
Mg2SiPt
1.0
-0.8108 2.1795 -3.6244
2.8957 -3.1873 -0.0063
-6.1567 -5.5895 -1.9838
Mg Si Pt
4 2 2
Cartesian
-2.1378 -1.9358 -3.2440 Mg
-3.9806 -6.5195 -3.0299 Mg
-1.9341 -4.6615 -2.3704 Mg
-0.0912 -0.0778 -2.5846 Mg
-4.6175 -4.1921 -1.4879 Si
-1.5392 -1.3974 -0.4960 Si
0.1210 -2.7958 -1.7083 Pt
-4.1929 -3.8016 -3.9062 Pt
```

Output
magnetization	0.00	μB/cell
theoretical density	6.6	Mg/m³
energy relative to the elements, uncorrected	-2.50	eV/f.u.
density of states at the Fermi level	2.43	states/eV/cell
crystal system	hexagonal

=====

Among the records above, which one has the highest theoretical density?
Mg2SiPt

=====

density of states at the Fermi level of number 3 (BaCaLa2Ru)?
4.77 states/eV/cell

=====

Among the records above, which one has the lowest density of states at the Fermi level?
Mg2SiPt